[1]
{"formula": "K2Ta3Cl9", "functional": "GGA-PBE", "state": "relaxed", "e_tot_ev_per_cell": -150.43, "mass_density_g_cm3": 4.054, "lattice": [[9.910, -0.032, 0.008], [-4.640, 8.757, 0.008], [2.131, 3.527, 8.895]], "species": ["Ta", "Ta", "Ta", "Ta", "Ta", "Ta", "Cl", "Cl", "Cl", "Cl", "Cl", "Cl", "Cl", "Cl", "Cl", "Cl", "Cl", "Cl", "Cl", "Cl", "Cl", "Cl", "Cl", "Cl", "K", "K", "K", "K"], "frac_coords": [[0.215, 0.045, 0.360], [0.955, 0.785, 0.640], [0.124, 0.124, 0.620], [0.876, 0.876, 0.380], [0.045, 0.215, 0.360], [0.785, 0.955, 0.640], [0.105, 0.493, 0.177], [0.687, 0.687, 0.833], [0.281, 0.281, 0.770], [0.906, 0.110, 0.191], [0.895, 0.507, 0.823], [0.507, 0.895, 0.823], [0.595, 0.800, 0.524], [0.094, 0.890, 0.809], [0.796, 0.204, 0.500], [0.313, 0.313, 0.167], [0.110, 0.906, 0.191], [0.405, 0.200, 0.476], [0.890, 0.094, 0.809], [0.200, 0.405, 0.476], [0.800, 0.595, 0.524], [0.719, 0.719, 0.230], [0.204, 0.796, 0.500], [0.493, 0.105, 0.177], [0.231, 0.552, 0.827], [0.769, 0.448, 0.173], [0.448, 0.769, 0.173], [0.552, 0.231, 0.827]]}



[2]
{"formula": "CaHgAu2", "functional": "GGA-PBE", "state": "relaxed", "n_ef_per_ev_fu": 1.5, "e_tot_ev_per_cell": -9.23, "mass_density_g_cm3": 10.570, "formation_enthalpy_0k_ev_per_atom": -0.094, "lattice": [[5.289, -2.368, -2.957], [-2.144, 5.383, 2.957], [-3.274, 0.266, 5.615]], "species": ["Au", "Au", "Ca", "Hg"], "frac_coords": [[0.000, 0.743, 0.743], [0.000, 0.257, 0.257], [0.000, 0.000, 0.000], [0.000, 0.500, 0.500]]}



[3]
{"formula": "CdPSe2", "functional": "GGA-PBE", "state": "relaxed", "n_ef_per_ev_fu": 3.5, "e_tot_ev_per_cell": -11.10, "mass_density_g_cm3": 6.218, "lattice": [[0.000, 3.427, 3.427], [3.427, 0.000, 3.427], [3.427, 3.427, 0.000]], "species": ["P", "Se", "Se", "Cd"], "frac_coords": [[0.250, 0.250, 0.250], [0.750, 0.750, 0.750], [0.000, 0.000, 0.000], [0.500, 0.500, 0.500]]}



[4]
{"formula": "BaLa3W", "functional": "GGA-PBE", "state": "relaxed", "n_ef_per_ev_fu": 4.8, "e_tot_ev_per_cell": -27.74, "mass_density_g_cm3": 6.250, "formation_enthalpy_0k_ev_per_atom": 0.383, "lattice": [[-1.002, 4.663, -3.317], [-5.560, 0.004, 1.684], [1.354, 3.465, 4.462]], "species": ["W", "La", "La", "La", "Ba"], "frac_coords": [[0.000, 0.000, 0.000], [0.500, 0.000, 0.000], [0.000, 0.500, 0.000], [0.000, 0.000, 0.500], [0.500, 0.500, 0.500]]}



[5]
{"formula": "TlCoAg2", "functional": "GGA-PBE", "state": "relaxed", "n_ef_per_ev_fu": 3.6, "e_tot_ev_per_cell": -13.61, "mass_density_g_cm3": 11.243, "formation_enthalpy_0k_ev_per_atom": 0.390, "lattice": [[4.004, 0.000, 0.000], [0.000, 4.034, 0.000], [0.000, 0.000, 4.380]], "species": ["Co", "Ag", "Ag", "Tl"], "frac_coords": [[0.500, 0.000, 0.500], [0.000, 0.000, 0.000], [0.500, 0.500, 0.000], [0.000, 0.500, 0.500]]}



[6]
{"formula": "CuAs", "functional": "GGA-PBE", "state": "relaxed", "n_ef_per_ev_fu": 1.1, "e_tot_ev_per_cell": -63.70, "mass_density_g_cm3": 4.459, "formation_enthalpy_0k_ev_per_atom": 0.392, "lattice": [[7.444, 0.000, 0.000], [0.000, 7.444, 0.000], [0.000, 0.000, 7.444]], "species": ["As", "As", "As", "As", "As", "As", "As", "As", "Cu", "Cu", "Cu", "Cu", "Cu", "Cu", "Cu", "Cu"], "frac_coords": [[0.841, 0.841, 0.841], [0.659, 0.659, 0.341], [0.659, 0.341, 0.659], [0.159, 0.841, 0.159], [0.841, 0.159, 0.159], [0.341, 0.659, 0.659], [0.341, 0.341, 0.341], [0.159, 0.159, 0.841], [0.163, 0.837, 0.837], [0.163, 0.163, 0.163], [0.663, 0.663, 0.663], [0.337, 0.663, 0.337], [0.837, 0.837, 0.163], [0.837, 0.163, 0.837], [0.663, 0.337, 0.337], [0.337, 0.337, 0.663]]}



[7]
{"formula": "DyGa3Os3", "functional": "GGA-PBE", "state": "relaxed", "n_ef_per_ev_fu": 8.4, "e_tot_ev_per_cell": -83.46, "mass_density_g_cm3": 10.183, "formation_enthalpy_0k_ev_per_atom": 0.806, "lattice": [[6.749, 0.000, 0.000], [0.000, 6.749, 0.000], [0.000, 0.000, 6.749]], "species": ["Os", "Os", "Os", "Os", "Os", "Os", "Ga", "Ga", "Ga", "Ga", "Ga", "Ga", "Dy", "Dy"], "frac_coords": [[0.000, 0.500, 0.750], [0.250, 0.000, 0.500], [0.000, 0.500, 0.250], [0.500, 0.750, 0.000], [0.500, 0.250, 0.000], [0.750, 0.000, 0.500], [0.000, 0.250, 0.500], [0.750, 0.500, 0.000], [0.000, 0.750, 0.500], [0.500, 0.000, 0.250], [0.250, 0.500, 0.000], [0.500, 0.000, 0.750], [0.500, 0.500, 0.500], [0.000, 0.000, 0.000]]}



[8]
{"formula": "SrMoBr4", "functional": "GGA-PBE", "state": "relaxed", "n_ef_per_ev_fu": 7.3, "e_tot_ev_per_cell": -17.23, "mass_density_g_cm3": 4.411, "lattice": [[0.000, 4.558, 4.558], [4.558, 0.000, 4.558], [4.558, 4.558, 0.000]], "species": ["Mo", "Br", "Br", "Br", "Br", "Sr"], "frac_coords": [[0.750, 0.750, 0.750], [0.375, 0.375, 0.375], [0.375, 0.874, 0.375], [0.874, 0.375, 0.375], [0.375, 0.375, 0.874], [0.000, 0.000, 0.000]]}



[9]
{"formula": "Li3SiS", "functional": "GGA-PBE", "state": "relaxed", "n_ef_per_ev_fu": 2.4, "e_tot_ev_per_cell": -14.01, "mass_density_g_cm3": 1.220, "lattice": [[-0.549, 3.349, 3.388], [0.345, -3.373, 3.390], [4.751, 0.631, 0.145]], "species": ["Li", "Li", "Li", "Si", "S"], "frac_coords": [[0.000, 0.000, 0.500], [0.500, 0.000, 0.000], [0.000, 0.500, 0.000], [0.000, 0.000, 0.000], [0.500, 0.500, 0.500]]}